The following is a GGA-PBE calculation of a geometry-optimized Tb3CeGe3 structure, from Alexandria via LeMat-Bulk.

The structure in POSCAR format:
```
Tb3CeGe3
1.0
-3.353 -2.000 4.186
3.569 -8.119 -1.020
3.666 5.803 5.708
Tb Ge Ce
6 6 2
direct
0.750 0.316 0.015
0.250 0.684 0.985
0.250 0.015 0.700
0.750 0.985 0.300
0.250 0.300 0.316
0.750 0.700 0.684
0.250 0.011 0.360
0.750 0.651 0.011
0.750 0.989 0.640
0.750 0.360 0.349
0.250 0.640 0.651
0.250 0.349 0.989
0.250 0.667 0.333
0.750 0.333 0.667
```

Calculated values
Calculated density: 7.02 g/cm³
Calculated formation energy: -3.9 eV per formula unit
M_tot: 1.59 Bohr magnetons per cell
Calculated total energy: -0.3943 Ry/atom